w) The following is a DFT calculation (PBE-GGA) of BaCaGa after structural relaxation. Values from VASP.

The structure in Quantum ESPRESSO input format:
```
&SYSTEM
  ibrav = 0, nat = 3, ntyp = 3
/
ATOMIC_SPECIES
Ba 137.33 Ba.upf
Ga 69.72 Ga.upf
Ca 40.08 Ca.upf
CELL_PARAMETERS angstrom
-0.432 -4.209 3.524
2.836 0.058 4.719
-2.635 0.676 4.787
ATOMIC_POSITIONS crystal
Ba 0.500 0.500 0.500
Ga 0.250 0.250 0.250
Ca 0.000 0.000 0.000
```

Computed properties:
Symmetry: F-43m, No. 216

x) The following is a DFT calculation (PBE-GGA) of BaCaGa after structural relaxation. Values from VASP.

The structure in Quantum ESPRESSO input format:
```
&SYSTEM
  ibrav = 0, nat = 3, ntyp = 3
/
ATOMIC_SPECIES
Ca 40.08 Ca.upf
Ga 69.72 Ga.upf
Ba 137.33 Ba.upf
CELL_PARAMETERS angstrom
-3.295 -1.989 -1.878
2.670 0.062 -4.749
0.599 -4.209 3.407
ATOMIC_POSITIONS crystal
Ca 0.169 0.333 0.667
Ga 0.163 0.000 0.000
Ba 0.668 0.667 0.333
```

Computed properties:
Symmetry: P3m1, No. 156

y) The following is a DFT calculation (PBE-GGA) of BaCaGa after structural relaxation. Values from VASP.

The structure in Quantum ESPRESSO input format:
```
&SYSTEM
  ibrav = 0, nat = 3, ntyp = 3
/
ATOMIC_SPECIES
Ca 40.08 Ca.upf
Ba 137.33 Ba.upf
Ga 69.72 Ga.upf
CELL_PARAMETERS angstrom
-2.732 1.696 -2.281
-2.839 -1.789 2.069
2.528 5.520 4.484
ATOMIC_POSITIONS crystal
Ca 0.290 0.290 0.580
Ba 0.028 0.028 0.056
Ga 0.682 0.682 0.364
```

Computed properties:
Symmetry: I4mm, No. 107

It comes down to y), which is 91 meV/atom more stable than the next structure.

w) The following is a DFT calculation (PBE-GGA) of BaCaGa4 after structural relaxation. Values from VASP.

The structure in Quantum ESPRESSO input format:
```
&SYSTEM
  ibrav = 0, nat = 6, ntyp = 3
/
ATOMIC_SPECIES
Ba 137.33 Ba.upf
Ca 40.08 Ca.upf
Ga 69.72 Ga.upf
CELL_PARAMETERS angstrom
-3.112 -1.500 3.296
1.590 -5.211 2.587
1.136 2.161 5.515
ATOMIC_POSITIONS crystal
Ba 0.563 0.437 0.437
Ca 0.466 0.034 0.034
Ga 0.833 0.490 0.843
Ga 0.152 0.669 0.027
Ga 0.152 0.027 0.669
Ga 0.833 0.843 0.490
```

Computed properties:
Symmetry: Imm2, No. 44

x) The following is a DFT calculation (PBE-GGA) of BaCaGa4 after structural relaxation. Values from VASP.

The structure in Quantum ESPRESSO input format:
```
&SYSTEM
  ibrav = 0, nat = 6, ntyp = 3
/
ATOMIC_SPECIES
Ga 69.72 Ga.upf
Ba 137.33 Ba.upf
Ca 40.08 Ca.upf
CELL_PARAMETERS angstrom
-1.180 -0.523 -5.702
1.764 -4.744 -2.927
-3.921 -3.934 -1.825
ATOMIC_POSITIONS crystal
Ga 0.625 0.625 0.124
Ga 0.625 0.124 0.625
Ga 0.625 0.625 0.625
Ga 0.124 0.625 0.625
Ba 0.250 0.250 0.250
Ca 0.000 0.000 0.000
```

Computed properties:
Symmetry: F-43m, No. 216

y) The following is a DFT calculation (PBE-GGA) of BaCaGa4 after structural relaxation. Values from VASP.

The structure in Quantum ESPRESSO input format:
```
&SYSTEM
  ibrav = 0, nat = 6, ntyp = 3
/
ATOMIC_SPECIES
Ga 69.72 Ga.upf
Ba 137.33 Ba.upf
Ca 40.08 Ca.upf
CELL_PARAMETERS angstrom
4.360 0.000 0.000
2.180 6.161 -0.161
2.180 1.648 5.939
ATOMIC_POSITIONS crystal
Ga 0.246 0.088 0.420
Ga 0.754 0.912 0.580
Ga 0.754 0.580 0.912
Ga 0.246 0.420 0.088
Ba 0.000 0.000 0.000
Ca 0.500 0.500 0.500
```

Computed properties:
Symmetry: Immm, No. 71

It comes down to w), which is 12 meV/atom more stable than the next structure.

w) The following is a DFT calculation (PBE-GGA) of BaCaGaGe after structural relaxation. Values from VASP.

The structure in Quantum ESPRESSO input format:
```
&SYSTEM
  ibrav = 0, nat = 4, ntyp = 4
/
ATOMIC_SPECIES
Ge 72.64 Ge.upf
Ga 69.72 Ga.upf
Ca 40.08 Ca.upf
Ba 137.33 Ba.upf
CELL_PARAMETERS angstrom
-4.184 1.112 1.705
0.193 -3.348 2.658
4.821 3.052 3.493
ATOMIC_POSITIONS crystal
Ge 0.342 0.000 0.684
Ga 0.466 0.500 0.931
Ca 0.016 0.000 0.032
Ba 0.746 0.500 0.492
```

Computed properties:
Symmetry: Amm2, No. 38

x) The following is a DFT calculation (PBE-GGA) of BaCaGaGe after structural relaxation. Values from VASP.

The structure in Quantum ESPRESSO input format:
```
&SYSTEM
  ibrav = 0, nat = 4, ntyp = 4
/
ATOMIC_SPECIES
Ge 72.64 Ge.upf
Ca 40.08 Ca.upf
Ba 137.33 Ba.upf
Ga 69.72 Ga.upf
CELL_PARAMETERS angstrom
-2.812 -1.846 4.344
2.594 -2.758 3.981
0.722 2.319 4.928
ATOMIC_POSITIONS crystal
Ge 0.750 0.750 0.750
Ca 0.500 0.500 0.500
Ba 0.000 0.000 0.000
Ga 0.250 0.250 0.250
```

Computed properties:
Symmetry: F-43m, No. 216

It comes down to w), which is 160 meV/atom more stable than the next structure.

w) The following is a DFT calculation (PBE-GGA) of BaLiCaGa after structural relaxation. Values from VASP.

The structure in Quantum ESPRESSO input format:
```
&SYSTEM
  ibrav = 0, nat = 4, ntyp = 4
/
ATOMIC_SPECIES
Li 6.94 Li.upf
Ga 69.72 Ga.upf
Ca 40.08 Ca.upf
Ba 137.33 Ba.upf
CELL_PARAMETERS angstrom
5.634 0.000 0.000
2.817 4.879 0.000
2.817 1.626 4.600
ATOMIC_POSITIONS crystal
Li 0.750 0.750 0.750
Ga 0.250 0.250 0.250
Ca 0.500 0.500 0.500
Ba 0.000 0.000 0.000
```

Computed properties:
Symmetry: F-43m, No. 216

x) The following is a DFT calculation (PBE-GGA) of BaLiCaGa after structural relaxation. Values from VASP.

The structure in Quantum ESPRESSO input format:
```
&SYSTEM
  ibrav = 0, nat = 4, ntyp = 4
/
ATOMIC_SPECIES
Ga 69.72 Ga.upf
Li 6.94 Li.upf
Ca 40.08 Ca.upf
Ba 137.33 Ba.upf
CELL_PARAMETERS angstrom
-0.429 0.521 -4.710
2.895 -3.337 1.768
-6.176 -4.017 2.519
ATOMIC_POSITIONS crystal
Ga 0.827 0.278 0.104
Li 0.490 0.610 0.100
Ca 0.012 0.870 0.882
Ba 0.363 0.046 0.410
```

Computed properties:
Symmetry: R3m, No. 160

It comes down to w), which is 17 meV/atom more stable than the next structure.

w) The following is a DFT calculation (PBE-GGA) of BaCaGaSb2 after structural relaxation. Values from VASP.

The structure in Quantum ESPRESSO input format:
```
&SYSTEM
  ibrav = 0, nat = 5, ntyp = 4
/
ATOMIC_SPECIES
Ga 69.72 Ga.upf
Sb 121.76 Sb.upf
Ba 137.33 Ba.upf
Ca 40.08 Ca.upf
CELL_PARAMETERS angstrom
5.812 0.000 0.000
0.000 5.486 0.000
0.000 0.000 5.812
ATOMIC_POSITIONS crystal
Ga 0.000 0.500 0.000
Sb 0.500 0.000 0.000
Sb 0.000 0.000 0.500
Ba 0.500 0.500 0.500
Ca 0.000 0.000 0.000
```

Computed properties:
Symmetry: P4/mmm, No. 123

x) The following is a DFT calculation (PBE-GGA) of BaCaGaSb2 after structural relaxation. Values from VASP.

The structure in Quantum ESPRESSO input format:
```
&SYSTEM
  ibrav = 0, nat = 10, ntyp = 4
/
ATOMIC_SPECIES
Ca 40.08 Ca.upf
Ga 69.72 Ga.upf
Sb 121.76 Sb.upf
Ba 137.33 Ba.upf
CELL_PARAMETERS angstrom
-6.159 -1.263 1.420
0.754 -6.507 -2.520
1.689 0.850 8.084
ATOMIC_POSITIONS crystal
Ca 0.500 0.250 0.000
Ca 0.500 0.750 0.000
Ga 0.000 0.500 0.000
Ga 0.000 0.000 0.000
Sb 0.744 0.642 0.283
Sb 0.744 0.858 0.717
Sb 0.256 0.358 0.717
Sb 0.256 0.142 0.283
Ba 0.233 0.750 0.500
Ba 0.767 0.250 0.500
```

Computed properties:
Symmetry: Cmme, No. 67

It comes down to x), which is 377 meV/atom more stable than the next structure.

w) The following is a DFT calculation (PBE-GGA) of BaSr2CaGa after structural relaxation. Values from VASP.

The structure in Quantum ESPRESSO input format:
```
&SYSTEM
  ibrav = 0, nat = 5, ntyp = 4
/
ATOMIC_SPECIES
Sr 87.62 Sr.upf
Ga 69.72 Ga.upf
Ba 137.33 Ba.upf
Ca 40.08 Ca.upf
CELL_PARAMETERS angstrom
6.338 0.000 0.000
0.000 6.338 0.000
0.000 0.000 6.366
ATOMIC_POSITIONS crystal
Sr 0.000 0.500 0.000
Sr 0.500 0.000 0.000
Ga 0.000 0.000 0.000
Ba 0.000 0.000 0.500
Ca 0.500 0.500 0.500
```

Computed properties:
Symmetry: P4/mmm, No. 123

x) The following is a DFT calculation (PBE-GGA) of BaSr2CaGa after structural relaxation. Values from VASP.

The structure in Quantum ESPRESSO input format:
```
&SYSTEM
  ibrav = 0, nat = 5, ntyp = 4
/
ATOMIC_SPECIES
Sr 87.62 Sr.upf
Ca 40.08 Ca.upf
Ga 69.72 Ga.upf
Ba 137.33 Ba.upf
CELL_PARAMETERS angstrom
6.321 0.000 0.000
0.000 6.321 0.000
0.000 0.000 6.023
ATOMIC_POSITIONS crystal
Sr 0.000 0.500 0.000
Sr 0.500 0.000 0.000
Ca 0.000 0.000 0.500
Ga 0.000 0.000 0.000
Ba 0.500 0.500 0.500
```

Computed properties:
Symmetry: P4/mmm, No. 123

y) The following is a DFT calculation (PBE-GGA) of BaSr2CaGa after structural relaxation. Values from VASP.

The structure in Quantum ESPRESSO input format:
```
&SYSTEM
  ibrav = 0, nat = 5, ntyp = 4
/
ATOMIC_SPECIES
Ba 137.33 Ba.upf
Sr 87.62 Sr.upf
Ca 40.08 Ca.upf
Ga 69.72 Ga.upf
CELL_PARAMETERS angstrom
-2.494 6.122 0.091
-3.701 -1.569 4.150
4.422 1.734 4.599
ATOMIC_POSITIONS crystal
Ba 0.000 0.000 0.000
Sr 0.000 0.000 0.500
Sr 0.500 0.000 0.000
Ca 0.500 0.500 0.500
Ga 0.000 0.500 0.000
```

Computed properties:
Symmetry: P4/mmm, No. 123

It comes down to x), which is 86 meV/atom more stable than the next structure.